! SnI2O | the Alexandria database | GGA-PBE | optimized geometry; values from VASP
&SYSTEM
  ibrav = 0, nat = 4, ntyp = 3
/
ATOMIC_SPECIES
I 126.90 I.upf
O 16.00 O.upf
Sn 118.71 Sn.upf
CELL_PARAMETERS angstrom
0.000 3.722 3.722
3.722 0.000 3.722
3.722 3.722 0.000
ATOMIC_POSITIONS crystal
I 0.250 0.250 0.250
I 0.750 0.750 0.750
O 0.000 0.000 0.000
Sn 0.500 0.500 0.500
! E_tot ... -10.23 eV for the cell shown
! Energy relative to the lowest polymorph listed for this composition ... 140 meV/atom
! Symmetry ... Fm-3m, No. 225

***

! SnI2O | the Alexandria database | GGA-PBE | optimized geometry; values from VASP
&SYSTEM
  ibrav = 0, nat = 8, ntyp = 3
/
ATOMIC_SPECIES
Sn 118.71 Sn.upf
O 16.00 O.upf
I 126.90 I.upf
CELL_PARAMETERS angstrom
-5.123 5.483 0.013
-5.477 -5.118 0.348
-5.161 0.303 4.133
ATOMIC_POSITIONS crystal
Sn 0.750 0.250 0.500
Sn 0.000 0.000 0.000
O 0.500 0.500 0.000
O 0.250 0.750 0.500
I 0.574 0.125 0.250
I 0.375 0.426 0.750
I 0.176 0.625 0.250
I 0.875 0.824 0.750
! E_tot ... -21.57 eV for the cell shown
! Energy relative to the lowest polymorph listed for this composition ... 0 meV/atom
! Symmetry ... I-42d, No. 122